First-principles (PBE) data for MgAgI after structural relaxation, as listed in Alexandria via LeMat-Bulk.

Cell lengths 10.0590, 6.1944, 5.6939 Å; angles 90.00, 91.45, 90.00 degrees
Fractional coordinates of all 12 atoms:
Mg 0.1336 0.1165 0.3684
Mg 0.1336 0.3835 0.8684
Mg 0.8664 0.6165 0.1316
Mg 0.8664 0.8835 0.6316
Ag 0.0846 0.6679 0.4331
Ag 0.0846 0.8321 0.9331
Ag 0.9154 0.1679 0.0669
Ag 0.9154 0.3321 0.5669
I 0.3236 0.0295 0.7388
I 0.3236 0.4705 0.2388
I 0.6764 0.5295 0.7612
I 0.6764 0.9705 0.2612

Final energy = -0.087 hartree per atom
Symmetry = P2_1/c, No. 14
Formation energy from raw total energies = -1.10 eV per formula unit
DOS at the Fermi energy = 0.54 states/eV/f.u.
Size of the total moment = 0.00 μB/f.u.


First-principles (PBE) data for Mg3AgI after structural relaxation, as listed in Alexandria via LeMat-Bulk.

Cell lengths 5.2962, 5.2962, 5.2962 Å; angles 90.00, 90.00, 90.00 degrees
Fractional coordinates of all 5 atoms:
Mg 0.0000 0.0000 0.5000
Mg 0.0000 0.5000 0.0000
Mg 0.5000 0.0000 0.0000
Ag 0.0000 0.0000 0.0000
I 0.5000 0.5000 0.5000

Final energy = -0.069 hartree per atom
Symmetry = Pm-3m, No. 221
Formation energy from raw total energies = -0.19 eV per formula unit
DOS at the Fermi energy = 2.13 states/eV/f.u.
Size of the total moment = 0.00 μB/f.u.
Relative energy among the computed polymorphs = 0 meV/atom


First-principles (PBE) data for MgAgI3 after structural relaxation, as listed in Alexandria via LeMat-Bulk.

Cell lengths 5.7345, 5.7345, 5.7345 Å; angles 90.00, 90.00, 90.00 degrees
Fractional coordinates of all 5 atoms:
Mg 0.0000 0.0000 0.0000
Ag 0.5000 0.5000 0.5000
I 0.0000 0.0000 0.5000
I 0.0000 0.5000 0.0000
I 0.5000 0.0000 0.0000

Final energy = -0.077 hartree per atom
Symmetry = Pm-3m, No. 221
Formation energy from raw total energies = -1.36 eV per formula unit
DOS at the Fermi energy = 0.00 states/eV/f.u.
Size of the total moment = 0.00 μB/f.u.
Relative energy among the computed polymorphs = 430 meV/atom


First-principles (PBE) data for Mg2AgI after structural relaxation, as listed in Alexandria via LeMat-Bulk.

Cell lengths 6.6086, 6.6086, 6.6086 Å; angles 108.30, 108.30, 111.84 degrees
Fractional coordinates of all 8 atoms:
Mg 0.0940 0.6250 0.9690
Mg 0.3750 0.3440 0.4690
Mg 0.6560 0.1250 0.0310
Mg 0.8750 0.9060 0.5310
Ag 0.0000 0.0000 0.0000
Ag 0.7500 0.2500 0.5000
I 0.2500 0.7500 0.5000
I 0.5000 0.5000 0.0000

Final energy = -0.072 hartree per atom
Symmetry = I-42d, No. 122
Formation energy from raw total energies = -0.30 eV per formula unit
DOS at the Fermi energy = 0.54 states/eV/f.u.
Size of the total moment = 0.00 μB/f.u.
Relative energy among the computed polymorphs = 0 meV/atom